# SmFeMo (PBE, relaxed)
data_SmFeMo
_cell_length_a 6.210
_cell_length_b 6.210
_cell_length_c 6.210
_cell_angle_alpha 90.00
_cell_angle_beta 90.00
_cell_angle_gamma 90.00
_symmetry_space_group_name_H-M 'F -4 3 m'
_symmetry_Int_Tables_number 216
_symmetry_space_group_name_Hall 'F -4 2 3'
loop_
_atom_site_label
_atom_site_fract_x
_atom_site_fract_y
_atom_site_fract_z
Sm1 0.000 0.000 0.000
Fe1 0.250 0.250 0.750
Mo1 0.000 0.000 0.500
# Energy relative to the lowest polymorph listed for this composition = 0.000 eV per atom
# Energy of formation from the pure elements = 0.692 eV/atom
# Electronic total energy = -87.17 eV/cell
# Total magnetic moment = 0.018 μB per formula unit